This record from the Alexandria database describes a geometry-optimized LiTi3Sb structure. The functional is GGA-PBEsol.

Results
Spin magnetization (μB per cell): 0.0
Relative energy among the computed polymorphs (eV/atom): 0.000
Energy relative to the elements, uncorrected (meV/atom): 425

Unit cell a=4.376 b=4.376 c=4.376 alpha=90.00 beta=90.00 gamma=90.00
Space group Pm-3m (No. 221)
Symmetry-distinct sites (fractional):
Li (0.000, 0.000, 0.000)
Ti (0.000, 0.000, 0.500)
Sb (0.500, 0.500, 0.500)